# 1
# VFeC2

An optimized crystal structure of VFeC2 (PBE-GGA, Alexandria via LeMat-Bulk).

Cell lengths 2.7635, 4.3199, 6.0466 Å; angles 90.00, 96.89, 90.00 degrees
Element x y z (fractional)
V1 0.9531 0.5000 0.0682
C1 0.6336 0.8341 0.2407
V2 0.9531 0.0000 0.5682
Fe1 0.5374 0.5000 0.4368
C2 0.6336 0.3341 0.7407
C3 0.6336 0.1659 0.2407
Fe2 0.5374 0.0000 0.9368
C4 0.6336 0.6659 0.7407

Values from the calculation:
Space-group type: Cm (8)
Crystal system: monoclinic
ΔE_f in meV/atom: 167
Magnetization in μB/atom: 0.000
Calculated density in g/cm³: 6.06
Fermi-level density of states in states/eV per atom: 0.535
V in Å³/cell: 71.66
Calculated total energy in eV per atom: -8.841

# 2
# MnCoI2

An optimized crystal structure of MnCoI2 (PBE-GGA, Alexandria via LeMat-Bulk).

Cell lengths 5.7954, 5.7954, 7.0576 Å; angles 65.76, 65.76, 90.00 degrees
Element x y z (fractional)
I1 0.8750 0.8753 0.7500
I2 0.6253 0.1250 0.2500
I3 0.1247 0.6250 0.2500
Mn1 0.5000 0.5000 0.0000
Co1 0.7500 0.2500 0.5000
Co2 0.0000 0.0000 0.0000
I4 0.3750 0.3747 0.7500
Mn2 0.2500 0.7500 0.5000

Values from the calculation:
Space-group type: I-42d (122)
Crystal system: tetragonal
Magnetization in μB/atom: 0.336
Raw formation energy in eV/atom: 0.7343
Calculated density in g/cm³: 6.33
Fermi-level density of states in states/eV per atom: 2.376
V in Å³/cell: 192.99
Calculated total energy in eV per atom: -4.110

# 3
# Sc4CdHg7

An optimized crystal structure of Sc4CdHg7 (PBE-GGA, Alexandria via LeMat-Bulk).

Cell lengths 5.2321, 9.2862, 6.7197 Å; angles 79.33, 67.09, 73.64 degrees
Element x y z (fractional)
Hg1 0.6434 0.4566 0.2566
Hg2 0.2023 0.0876 0.5077
Cd1 0.0000 0.0000 0.0000
Hg3 0.7977 0.9124 0.4923
Sc1 0.7306 0.6802 0.8587
Hg4 0.9321 0.3490 0.7868
Hg5 0.5000 0.0000 0.0000
Sc2 0.5791 0.2244 0.6175
Sc3 0.2694 0.3198 0.1413
Sc4 0.4209 0.7756 0.3825
Hg6 0.3566 0.5434 0.7434
Hg7 0.0679 0.6510 0.2132

Values from the calculation:
Space-group type: C2/m (12)
Crystal system: monoclinic
ΔE_f in meV/atom: -167
Magnetization in μB/atom: 0.000
Calculated density in g/cm³: 9.80
Fermi-level density of states in states/eV per atom: 0.551
V in Å³/cell: 287.49
Calculated total energy in eV per atom: -2.530

# 4
# LiScRuAu

An optimized crystal structure of LiScRuAu (PBE-GGA, Alexandria via LeMat-Bulk).

Cell lengths 4.4847, 4.4847, 4.4847 Å; angles 60.00, 60.00, 60.00 degrees
Element x y z (fractional)
Ru1 0.2500 0.2500 0.2500
Au1 0.7500 0.7500 0.7500
Li1 0.0000 0.0000 0.0000
Sc1 0.5000 0.5000 0.5000

Values from the calculation:
Space-group type: F-43m (216)
Crystal system: cubic
ΔE_f in meV/atom: -329
Magnetization in μB/atom: 0.000
Calculated density in g/cm³: 9.11
Fermi-level density of states in states/eV per atom: 0.662
V in Å³/cell: 63.78
Calculated total energy in eV per atom: -5.529

# 5
# ScTc2Se

An optimized crystal structure of ScTc2Se (PBE-GGA, Alexandria via LeMat-Bulk).

Cell lengths 3.1555, 3.1555, 6.4574 Å; angles 90.00, 90.00, 90.00 degrees
Element x y z (fractional)
Tc1 0.0000 0.0000 0.9775
Se1 0.5000 0.5000 0.7500
Sc1 0.5000 0.5000 0.2500
Tc2 0.0000 0.0000 0.5225

Values from the calculation:
Space-group type: P4/mmm (123)
Crystal system: tetragonal
Magnetization in μB/atom: 0.000
Raw formation energy in eV/atom: 0.0031
Calculated density in g/cm³: 8.26
Fermi-level density of states in states/eV per atom: 0.994
V in Å³/cell: 64.30
Calculated total energy in eV per atom: -7.634

# 6
# PmCd2RuO6

An optimized crystal structure of PmCd2RuO6 (PBE-GGA, Alexandria via LeMat-Bulk).

Cell lengths 5.6692, 5.7778, 8.2111 Å; angles 90.00, 90.49, 90.00 degrees
Element x y z (fractional)
Pm1 0.0000 0.5000 0.5000
O1 0.7924 0.8345 0.5521
Cd1 0.9975 0.0402 0.7456
Cd2 0.4975 0.4598 0.2456
O2 0.6578 0.2892 0.5722
O3 0.2076 0.1655 0.4479
O4 0.8422 0.7892 0.9278
O5 0.8867 0.5735 0.2266
Pm2 0.5000 0.0000 0.0000
O6 0.2924 0.6655 0.0521
Ru1 0.5000 0.0000 0.5000
O7 0.6133 0.0735 0.2734
Cd3 0.0025 0.9598 0.2544
O8 0.1578 0.2108 0.0722
Ru2 0.0000 0.5000 0.0000
O9 0.7076 0.3345 0.9479
Cd4 0.5025 0.5402 0.7544
O10 0.1133 0.4265 0.7734
O11 0.3867 0.9265 0.7266
O12 0.3422 0.7108 0.4278

Values from the calculation:
Space-group type: P2_1/c (14)
Crystal system: monoclinic
Magnetization in μB/atom: 0.299
Raw formation energy in eV/atom: -1.5354
Calculated density in g/cm³: 7.00
Fermi-level density of states in states/eV per atom: 0.182
V in Å³/cell: 268.95
Calculated total energy in eV per atom: -6.096

# 7
# CrCu2AsH

An optimized crystal structure of CrCu2AsH (PBE-GGA, Alexandria via LeMat-Bulk).

Cell lengths 3.7589, 3.7589, 4.0623 Å; angles 90.00, 90.00, 90.00 degrees
Element x y z (fractional)
As1 0.5000 0.5000 0.5000
Cu1 0.5000 0.0000 0.0000
Cr1 0.0000 0.0000 0.5000
Cu2 0.0000 0.5000 0.0000
H1 0.0000 0.0000 0.0000

Values from the calculation:
Space-group type: P4/mmm (123)
Crystal system: tetragonal
Magnetization in μB/atom: 0.648
Calculated density in g/cm³: 7.38
Fermi-level density of states in states/eV per atom: 0.586
V in Å³/cell: 57.40
Calculated total energy in eV per atom: -5.034

# 8
# RbNb2TlIn

An optimized crystal structure of RbNb2TlIn (PBE-GGA, Alexandria via LeMat-Bulk).

Cell lengths 5.5894, 5.8773, 5.5894 Å; angles 90.00, 90.00, 90.00 degrees
Element x y z (fractional)
Tl1 0.0000 0.0000 0.0000
In1 0.0000 0.5000 0.0000
Nb1 0.5000 0.0000 0.0000
Nb2 0.0000 0.0000 0.5000
Rb1 0.5000 0.5000 0.5000

Values from the calculation:
Space-group type: P4/mmm (123)
Crystal system: tetragonal
ΔE_f in meV/atom: 1561
Magnetization in μB/atom: 1.430
Calculated density in g/cm³: 5.34
Fermi-level density of states in states/eV per atom: 1.585
V in Å³/cell: 183.62
Calculated total energy in eV per atom: -3.682